No. 1
The following is a DFT calculation (PBE) of a geometry-optimized Zn2NiPb structure.

Cell: 8.592 3.460 5.074 Å, 90.00 104.81 90.00°
Space group C2/m (No. 12)
One atom of each set of equivalent atoms:
Zn1 0.221 0.000 0.162 x4
Ni1 0.000 0.500 0.000 x2
Pb1 0.000 0.000 0.500 x2

The total moment is 0.000 μB per atom. The formation energy comes out at 0.14 eV per atom.

***

No. 2
The following is a DFT calculation (PBE) of a geometry-optimized SrLa2Pt structure.

Cell: 3.783 3.783 9.940 Å, 90.00 90.26 90.00°
Space group P2/m (No. 10)
One atom of each set of equivalent atoms:
Sr1 0.000 0.000 0.000 x1
La1 0.497 0.500 0.663 x2
Pt1 0.000 0.000 0.500 x1

The total moment is 0.000 μB per atom. Its energy above the most stable polymorph in this dataset is 0.0810 eV per atom. The formation energy comes out at -0.49 eV per atom.

***

No. 3
The following is a DFT calculation (PBE) of a geometry-optimized Ag2Ru structure.

Cell: 2.698 2.698 27.813 Å, 90.00 90.00 90.00°
Space group I4_1/amd (No. 141, origin choice 2)
One atom of each set of equivalent atoms:
Ag1 0.000 0.250 0.296 x8
Ru1 0.000 0.250 0.875 x4

The total moment is 0.006 μB per atom. Its energy above the most stable polymorph in this dataset is 0.1663 eV per atom. The formation energy comes out at 0.52 eV per atom.

***

No. 4
The following is a DFT calculation (PBE) of a geometry-optimized Tb4Mg3Pd structure.

Cell: 3.716 3.716 14.918 Å, 90.00 90.00 90.00°
Space group P4/mmm (No. 123)
One atom of each set of equivalent atoms:
Tb1 0.000 0.000 0.110 x2
Tb2 0.000 0.000 0.370 x2
Mg1 0.500 0.500 0.242 x2
Mg2 0.500 0.500 0.500 x1
Pd1 0.500 0.500 0.000 x1

The total moment is 0.000 μB per atom. The formation energy comes out at -0.28 eV per atom.

***

No. 5
The following is a DFT calculation (PBE) of a geometry-optimized Ca2Ag5Sn3 structure.

Cell: 12.309 12.422 6.315 Å, 90.00 90.00 90.00°
Space group Ibam (No. 72)
One atom of each set of equivalent atoms:
Ca1 0.125 0.241 0.000 x8
Ag1 0.000 0.000 0.250 x4
Ag2 0.118 0.350 0.500 x8
Ag3 0.240 0.500 0.250 x8
Sn1 0.000 0.500 0.250 x4
Sn2 0.133 0.135 0.500 x8

The total moment is 0.000 μB per atom. The formation energy comes out at -0.25 eV per atom.

***

No. 6
The following is a DFT calculation (PBE) of a geometry-optimized PrNd5DyTm2 structure.

Cell: 5.664 20.398 10.797 Å, 90.00 90.00 90.00°
Space group Cmc2_1 (No. 36)
One atom of each set of equivalent atoms:
Pr1 0.000 0.202 0.000 x4
Nd1 0.000 0.016 0.014 x4
Nd2 0.000 0.282 0.299 x4
Nd3 0.000 0.296 0.694 x4
Nd4 0.000 0.392 0.017 x4
Nd5 0.000 0.479 0.733 x4
Dy1 0.000 0.411 0.448 x4
Tm1 0.000 0.110 0.731 x4
Tm2 0.000 0.116 0.308 x4

The total moment is 0.000 μB per atom. The formation energy comes out at 0.15 eV per atom.

***

No. 7
The following is a DFT calculation (PBE) of a geometry-optimized Cs2ZrCdI6 structure.

Cell: 12.781 12.781 12.781 Å, 90.00 90.00 90.00°
Space group Fm-3m (No. 225)
One atom of each set of equivalent atoms:
Cs1 0.250 0.250 0.250 x8
Zr1 0.000 0.000 0.000 x4
Cd1 0.000 0.000 0.500 x4
I1 0.000 0.000 0.227 x24

The total moment is 0.000 μB per atom. The value obtained for the uncorrected formation energy is -1.01 eV per atom.

***

No. 8
The following is a DFT calculation (PBE) of a geometry-optimized Dy5CuPd4 structure.

Cell: 3.492 3.492 17.640 Å, 90.00 90.00 90.00°
Space group P4/mmm (No. 123)
One atom of each set of equivalent atoms:
Dy1 0.000 0.000 0.000 x1
Dy2 0.000 0.000 0.201 x2
Dy3 0.000 0.000 0.401 x2
Cu1 0.500 0.500 0.500 x1
Pd1 0.500 0.500 0.101 x2
Pd2 0.500 0.500 0.302 x2

The total moment is 0.000 μB per atom. The formation energy comes out at -0.75 eV per atom.

***

Number 1: total energy -23.0 eV for the cell shown. Number 2: total energy -19.5 eV for the cell shown. Number 3: total energy -53.7 eV for the cell shown. Number 4: total energy -30.7 eV for the cell shown. Number 5: total energy -130.9 eV for the cell shown. Number 6: total energy -163.4 eV for the cell shown. Number 7: total energy -122.3 eV for the cell shown. Number 8: total energy -55.4 eV for the cell shown.